[1]
# Zr3CuOs2 (GGA-PBE, relaxed)
# E_tot, eV/atom: -9.0983
# Symmetry: P4/mmm (123)
# Formation energy from the elements, kJ/mol of formula units: -231
data_Zr3CuOs2
_space_group_name_H-M_alt 'P 1'
_space_group_IT_number 1
_cell_length_a 3.267
_cell_length_b 3.267
_cell_length_c 10.000
_cell_angle_alpha 90.00
_cell_angle_beta 90.00
_cell_angle_gamma 90.00
loop_
_space_group_symop_operation_xyz
'x,y,z'
loop_
_atom_site_label
_atom_site_type_symbol
_atom_site_fract_x
_atom_site_fract_y
_atom_site_fract_z
_atom_site_occupancy
Zr1 Zr 0.000 0.000 0.000 1
Zr2 Zr 0.000 0.000 0.332 1
Zr3 Zr 0.000 0.000 0.668 1
Cu1 Cu 0.500 0.500 0.500 1
Os1 Os 0.500 0.500 0.168 1
Os2 Os 0.500 0.500 0.832 1

***

[2]
# DyMoC2 (GGA-PBE, relaxed)
# E_tot, eV/atom: -8.5967
# E above lowest polymorph, kcal/mol of atoms: 2.96
# Symmetry: R-3m (166)
# Formation energy from the elements, kJ/mol of formula units: -49
data_DyMoC2
_space_group_name_H-M_alt 'P 1'
_space_group_IT_number 1
_cell_length_a 5.866
_cell_length_b 5.866
_cell_length_c 5.866
_cell_angle_alpha 32.01
_cell_angle_beta 32.01
_cell_angle_gamma 32.01
loop_
_space_group_symop_operation_xyz
'x,y,z'
loop_
_atom_site_label
_atom_site_type_symbol
_atom_site_fract_x
_atom_site_fract_y
_atom_site_fract_z
_atom_site_occupancy
Dy1 Dy 0.000 0.000 0.000 1
Mo1 Mo 0.500 0.500 0.500 1
C1 C 0.238 0.238 0.238 1
C2 C 0.762 0.762 0.762 1

***

[3]
# Tc2NiGeN (GGA-PBE, relaxed)
# E_tot, eV/atom: -7.8245
# Formation energy from raw total energies, eV per atom: 0.067
# Symmetry: P4/mmm (123)
data_Tc2NiGeN
_space_group_name_H-M_alt 'P 1'
_space_group_IT_number 1
_cell_length_a 4.122
_cell_length_b 4.122
_cell_length_c 3.677
_cell_angle_alpha 90.00
_cell_angle_beta 90.00
_cell_angle_gamma 90.00
loop_
_space_group_symop_operation_xyz
'x,y,z'
loop_
_atom_site_label
_atom_site_type_symbol
_atom_site_fract_x
_atom_site_fract_y
_atom_site_fract_z
_atom_site_occupancy
Tc1 Tc 0.000 0.500 0.000 1
Tc2 Tc 0.500 0.000 0.000 1
Ni1 Ni 0.000 0.000 0.500 1
Ge1 Ge 0.500 0.500 0.500 1
N1 N 0.000 0.000 0.000 1

***

[4]
# Ho4CdPb5 (GGA-PBE, relaxed)
# E_tot, eV/atom: -3.9636
# Symmetry: I4 (79)
# Formation energy from the elements, kJ/mol of formula units: -180
data_Ho4CdPb5
_space_group_name_H-M_alt 'P 1'
_space_group_IT_number 1
_cell_length_a 7.550
_cell_length_b 7.550
_cell_length_c 7.550
_cell_angle_alpha 100.25
_cell_angle_beta 100.25
_cell_angle_gamma 130.10
loop_
_space_group_symop_operation_xyz
'x,y,z'
loop_
_atom_site_label
_atom_site_type_symbol
_atom_site_fract_x
_atom_site_fract_y
_atom_site_fract_z
_atom_site_occupancy
Ho1 Ho 0.091 0.301 0.392 1
Ho2 Ho 0.301 0.909 0.211 1
Ho3 Ho 0.699 0.091 0.789 1
Ho4 Ho 0.909 0.699 0.608 1
Cd1 Cd 0.733 0.733 0.000 1
Pb1 Pb 0.217 0.217 0.000 1
Pb2 Pb 0.222 0.600 0.816 1
Pb3 Pb 0.406 0.222 0.622 1
Pb4 Pb 0.600 0.784 0.378 1
Pb5 Pb 0.784 0.406 0.184 1

***

Please write out number 1 again, unchanged.
# Zr3CuOs2 (GGA-PBE, relaxed)
# E_tot, eV/atom: -9.0983
# Symmetry: P4/mmm (123)
# Formation energy from the elements, kJ/mol of formula units: -231
data_Zr3CuOs2
_space_group_name_H-M_alt 'P 1'
_space_group_IT_number 1
_cell_length_a 3.267
_cell_length_b 3.267
_cell_length_c 10.000
_cell_angle_alpha 90.00
_cell_angle_beta 90.00
_cell_angle_gamma 90.00
loop_
_space_group_symop_operation_xyz
'x,y,z'
loop_
_atom_site_label
_atom_site_type_symbol
_atom_site_fract_x
_atom_site_fract_y
_atom_site_fract_z
_atom_site_occupancy
Zr1 Zr 0.000 0.000 0.000 1
Zr2 Zr 0.000 0.000 0.332 1
Zr3 Zr 0.000 0.000 0.668 1
Cu1 Cu 0.500 0.500 0.500 1
Os1 Os 0.500 0.500 0.168 1
Os2 Os 0.500 0.500 0.832 1

***

Which of these has the highest E_tot?
Ho4CdPb5

***

Number 2 is which compound?
DyMoC2